The following is a DFT calculation (PBE-GGA) of a geometry-optimized Sr3Ce3TaAs8 structure.

Structure (CIF):
```
data_Sr3Ce3TaAs8
_cell_length_a 8.4758
_cell_length_b 8.4758
_cell_length_c 21.3533
_cell_angle_alpha 90.00
_cell_angle_beta 90.00
_cell_angle_gamma 120.00
_space_group_name_H-M_alt 'R -3 m'
_space_group_IT_number 166
_space_group_name_Hall '-R 3 2"'
loop_
_atom_site_label
_atom_site_type_symbol
_atom_site_fract_x
_atom_site_fract_y
_atom_site_fract_z
_atom_site_occupancy
Sr1 Sr 0.0000 0.5000 0.0000 1
Ce1 Ce 0.0000 0.5000 0.5000 1
Ta1 Ta 0.0000 0.0000 0.5000 1
As1 As 0.0000 0.0000 0.2412 1
As2 As 0.0261 0.5130 0.2342 1
```

Calculated values
The calculation puts the total magnetic moment at 0.0 μB/f.u. The density of states at the Fermi level comes out at 25.82 states/eV/cell. For the formation energy, the calculation gives -975 meV/atom.